# 1
A plane-wave DFT calculation with PBE was carried out for InHPb3 after structural relaxation.

Cell and atoms, written as POSCAR:
```
InHPb3
1.0
5.850 0.000 0.000
0.000 5.850 0.000
0.000 0.000 5.850
In H Pb
1 1 3
direct
0.000 0.000 0.000
0.500 0.500 0.500
0.000 0.000 0.500
0.000 0.500 0.000
0.500 0.000 0.000
```

Properties
Density of states at the Fermi level: 2.865 states/eV/cell
Calculated total energy: -2.512 eV/atom
Offset from the most stable computed form: 741 meV/atom

***

# 2
A plane-wave DFT calculation with PBE was carried out for InHPb after structural relaxation.

Cell and atoms, written as POSCAR:
```
InHPb
1.0
3.395 0.000 0.000
0.013 4.939 0.000
0.818 2.457 8.140
In H Pb
2 2 2
direct
0.000 0.000 0.000
0.432 0.414 0.186
0.717 0.526 0.807
0.724 0.685 0.797
0.348 0.214 0.600
0.902 0.811 0.406
```

Properties
Density of states at the Fermi level: 1.482 states/eV/cell
Calculated total energy: -3.163 eV/atom
Offset from the most stable computed form: 33 meV/atom

***

# 3
A plane-wave DFT calculation with PBE was carried out for In4H2Pb after structural relaxation.

Cell and atoms, written as POSCAR:
```
In4H2Pb
1.0
2.692 -8.295 0.000
2.692 8.295 0.000
0.000 0.000 3.402
In H Pb
4 2 1
direct
0.099 0.901 0.000
0.306 0.694 0.500
0.694 0.306 0.500
0.901 0.099 0.000
0.231 0.769 0.000
0.769 0.231 0.000
0.500 0.500 0.500
```

Properties
Density of states at the Fermi level: 2.408 states/eV/cell
Calculated total energy: -2.814 eV/atom

***

# 4
A plane-wave DFT calculation with PBE was carried out for InHPb after structural relaxation.

Cell and atoms, written as POSCAR:
```
InHPb
1.0
2.840 -3.717 0.000
2.840 3.717 0.000
0.000 0.000 6.719
In H Pb
2 2 2
direct
0.000 0.000 0.000
0.000 0.000 0.500
0.229 0.771 0.750
0.771 0.229 0.250
0.493 0.507 0.750
0.507 0.493 0.250
```

Properties
Density of states at the Fermi level: 1.570 states/eV/cell
Calculated total energy: -3.011 eV/atom
Offset from the most stable computed form: 185 meV/atom

***

# 5
A plane-wave DFT calculation with PBE was carried out for In3HPb after structural relaxation.

Cell and atoms, written as POSCAR:
```
In3HPb
1.0
4.895 0.000 0.000
0.000 4.895 0.000
0.000 0.000 4.895
In H Pb
3 1 1
direct
0.000 0.000 0.500
0.000 0.500 0.000
0.500 0.000 0.000
0.000 0.000 0.000
0.500 0.500 0.500
```

Properties
Density of states at the Fermi level: 2.319 states/eV/cell
Calculated total energy: -2.878 eV/atom

***

# 6
A plane-wave DFT calculation with PBE was carried out for InHPb after structural relaxation.

Cell and atoms, written as POSCAR:
```
InHPb
1.0
6.519 0.000 0.000
0.000 5.704 0.000
0.000 0.000 7.372
In H Pb
4 4 4
direct
0.120 0.250 0.016
0.380 0.750 0.516
0.620 0.250 0.484
0.880 0.750 0.984
0.129 0.250 0.278
0.371 0.750 0.778
0.629 0.250 0.222
0.871 0.750 0.722
0.122 0.250 0.555
0.378 0.750 0.055
0.622 0.250 0.945
0.878 0.750 0.445
```

Properties
Density of states at the Fermi level: 4.098 states/eV/cell
Calculated total energy: -3.055 eV/atom
Offset from the most stable computed form: 141 meV/atom

***

# 7
A plane-wave DFT calculation with PBE was carried out for InHPb3 after structural relaxation.

Cell and atoms, written as POSCAR:
```
InHPb3
1.0
5.025 0.000 0.000
0.000 5.025 0.000
0.000 0.000 5.025
In H Pb
1 1 3
direct
0.000 0.000 0.000
0.500 0.500 0.500
0.000 0.500 0.500
0.500 0.000 0.500
0.500 0.500 0.000
```

Properties
Density of states at the Fermi level: 1.577 states/eV/cell
Calculated total energy: -3.253 eV/atom
Offset from the most stable computed form: 0 meV/atom

***

# 8
A plane-wave DFT calculation with PBE was carried out for InHPb after structural relaxation.

Cell and atoms, written as POSCAR:
```
InHPb
1.0
3.325 0.000 0.000
0.034 5.055 0.000
1.660 2.473 8.134
In H Pb
2 2 2
direct
0.103 0.096 0.304
0.897 0.904 0.696
0.481 0.547 0.528
0.519 0.453 0.472
0.309 0.308 0.885
0.691 0.692 0.115
```

Properties
Density of states at the Fermi level: 1.869 states/eV/cell
Calculated total energy: -3.162 eV/atom
Offset from the most stable computed form: 34 meV/atom

***

# 9
A plane-wave DFT calculation with PBE was carried out for InHPb after structural relaxation.

Cell and atoms, written as POSCAR:
```
InHPb
1.0
10.021 0.000 0.000
0.000 3.520 0.000
0.000 0.000 7.269
In H Pb
4 4 4
direct
0.010 0.250 0.188
0.490 0.750 0.688
0.510 0.250 0.312
0.990 0.750 0.812
0.149 0.750 0.376
0.351 0.250 0.876
0.649 0.750 0.124
0.851 0.250 0.624
0.213 0.250 0.566
0.287 0.750 0.066
0.713 0.250 0.934
0.787 0.750 0.434
```

Properties
Density of states at the Fermi level: 4.113 states/eV/cell
Calculated total energy: -2.948 eV/atom
Offset from the most stable computed form: 248 meV/atom

***

# 10
A plane-wave DFT calculation with PBE was carried out for In2H2Pb after structural relaxation.

Cell and atoms, written as POSCAR:
```
In2H2Pb
1.0
4.556 -2.597 0.000
4.556 2.597 0.000
-3.042 0.000 4.355
In H Pb
2 2 1
direct
0.246 0.246 0.243
0.754 0.754 0.757
0.486 0.486 0.917
0.514 0.514 0.083
0.000 0.000 0.500
```

Properties
Density of states at the Fermi level: 1.104 states/eV/cell
Calculated total energy: -3.075 eV/atom
Offset from the most stable computed form: 0 meV/atom

***

# 11
A plane-wave DFT calculation with PBE was carried out for InHPb after structural relaxation.

Cell and atoms, written as POSCAR:
```
InHPb
1.0
3.362 0.000 0.000
-0.010 5.019 0.000
-1.616 -2.489 8.089
In H Pb
2 2 2
direct
0.000 0.000 0.000
0.192 0.205 0.401
0.806 0.876 0.599
0.808 0.729 0.609
0.411 0.404 0.812
0.603 0.612 0.216
```

Properties
Density of states at the Fermi level: 1.828 states/eV/cell
Calculated total energy: -3.169 eV/atom
Offset from the most stable computed form: 27 meV/atom

***

# 12
A plane-wave DFT calculation with PBE was carried out for InHPb after structural relaxation.

Cell and atoms, written as POSCAR:
```
InHPb
1.0
1.645 -2.959 0.000
1.645 2.959 0.000
-0.498 0.000 15.256
In H Pb
2 2 2
direct
0.017 0.017 0.099
0.983 0.983 0.901
0.001 0.001 0.475
0.999 0.999 0.525
0.456 0.456 0.713
0.544 0.544 0.287
```

Properties
Density of states at the Fermi level: 2.619 states/eV/cell
Calculated total energy: -3.196 eV/atom
Offset from the most stable computed form: 0 meV/atom

***

# 13
A plane-wave DFT calculation with PBE was carried out for InH2Pd7Pb2 after structural relaxation.

Cell and atoms, written as POSCAR:
```
InH2Pd7Pb2
1.0
2.874 -2.873 0.000
2.874 2.873 0.000
-2.824 0.000 11.317
In H Pd Pb
1 2 7 2
direct
0.000 0.000 0.000
0.414 0.414 0.826
0.586 0.586 0.174
0.089 0.589 0.181
0.324 0.324 0.643
0.411 0.911 0.819
0.500 0.500 0.000
0.589 0.089 0.181
0.676 0.676 0.357
0.911 0.411 0.819
0.194 0.194 0.391
0.806 0.806 0.609
```

Properties
Density of states at the Fermi level: 4.432 states/eV/cell
Calculated total energy: -4.728 eV/atom

***

# 14
A plane-wave DFT calculation with PBE was carried out for InH2PdPb after structural relaxation.

Cell and atoms, written as POSCAR:
```
InH2PdPb
1.0
3.827 0.000 0.000
0.000 3.827 0.000
0.000 0.000 6.562
In H Pd Pb
1 2 1 1
direct
0.000 0.000 0.000
0.000 0.500 0.000
0.500 0.000 0.000
0.500 0.500 0.500
0.000 0.000 0.500
```

Properties
Density of states at the Fermi level: 1.837 states/eV/cell
Calculated total energy: -3.345 eV/atom

***

# 15
A plane-wave DFT calculation with PBE was carried out for InHPbS3 after structural relaxation.

Cell and atoms, written as POSCAR:
```
InHPbS3
1.0
8.749 0.000 0.000
0.000 3.625 0.000
-2.142 0.000 8.861
In H Pb S
2 2 2 6
direct
0.226 0.250 0.312
0.774 0.750 0.688
0.048 0.250 0.875
0.952 0.750 0.125
0.364 0.250 0.784
0.636 0.750 0.216
0.053 0.750 0.834
0.301 0.750 0.493
0.394 0.250 0.121
0.606 0.750 0.879
0.699 0.250 0.507
0.947 0.250 0.166
```

Properties
Calculated total energy: -3.918 eV/atom

***

# 16
A plane-wave DFT calculation with PBE was carried out for ScInHPb2 after structural relaxation.

Cell and atoms, written as POSCAR:
```
ScInHPb2
1.0
5.598 0.000 0.000
0.000 5.598 0.000
0.000 0.000 3.641
Sc In H Pb
1 1 1 2
direct
0.000 0.000 0.000
0.500 0.500 0.000
0.000 0.000 0.500
0.000 0.500 0.500
0.500 0.000 0.500
```

Properties
Density of states at the Fermi level: 2.360 states/eV/cell
Calculated total energy: -4.019 eV/atom

***

# 17
A plane-wave DFT calculation with PBE was carried out for Sc2InHPb after structural relaxation.

Cell and atoms, written as POSCAR:
```
Sc2InHPb
1.0
4.566 0.000 0.000
0.000 4.566 0.000
0.000 0.000 4.569
Sc In H Pb
2 1 1 1
direct
0.000 0.500 0.000
0.500 0.000 0.000
0.000 0.000 0.500
0.000 0.000 0.000
0.500 0.500 0.500
```

Properties
Density of states at the Fermi level: 4.792 states/eV/cell
Calculated total energy: -4.724 eV/atom

***

# 18
A plane-wave DFT calculation with PBE was carried out for InSnHPb2 after structural relaxation.

Cell and atoms, written as POSCAR:
```
InSnHPb2
1.0
5.068 0.000 0.000
0.000 5.068 0.000
0.000 0.000 4.742
In Sn H Pb
1 1 1 2
direct
0.000 0.000 0.000
0.500 0.500 0.000
0.000 0.000 0.500
0.000 0.500 0.500
0.500 0.000 0.500
```

Properties
Density of states at the Fermi level: 1.995 states/eV/cell
Calculated total energy: -3.289 eV/atom
Offset from the most stable computed form: 6 meV/atom

***

# 19
A plane-wave DFT calculation with PBE was carried out for InSnHPb2 after structural relaxation.

Cell and atoms, written as POSCAR:
```
InSnHPb2
1.0
5.219 0.000 0.000
0.000 5.219 0.000
0.000 0.000 4.496
In Sn H Pb
1 1 1 2
direct
0.000 0.000 0.000
0.500 0.500 0.000
0.500 0.500 0.500
0.000 0.500 0.500
0.500 0.000 0.500
```

Properties
Density of states at the Fermi level: 1.051 states/eV/cell
Calculated total energy: -3.295 eV/atom
Offset from the most stable computed form: 0 meV/atom

***

# 20
A plane-wave DFT calculation with PBE was carried out for In2SnHPb after structural relaxation.

Cell and atoms, written as POSCAR:
```
In2SnHPb
1.0
4.936 0.000 0.000
0.000 4.936 0.000
0.000 0.000 4.871
In Sn H Pb
2 1 1 1
direct
0.000 0.500 0.000
0.500 0.000 0.000
0.000 0.000 0.500
0.500 0.500 0.000
0.500 0.500 0.500
```

Properties
Density of states at the Fermi level: 1.591 states/eV/cell
Calculated total energy: -3.110 eV/atom
Offset from the most stable computed form: 11 meV/atom

***

# 21
A plane-wave DFT calculation with PBE was carried out for In2SnHPb after structural relaxation.

Cell and atoms, written as POSCAR:
```
In2SnHPb
1.0
5.009 0.000 0.000
0.000 5.009 0.000
0.000 0.000 4.691
In Sn H Pb
2 1 1 1
direct
0.000 0.500 0.000
0.500 0.000 0.000
0.000 0.000 0.500
0.000 0.000 0.000
0.500 0.500 0.500
```

Properties
Density of states at the Fermi level: 1.604 states/eV/cell
Calculated total energy: -3.121 eV/atom
Offset from the most stable computed form: 0 meV/atom

***

# 22
A plane-wave DFT calculation with PBE was carried out for InTeH2Pb after structural relaxation.

Cell and atoms, written as POSCAR:
```
InTeH2Pb
1.0
4.220 0.000 0.000
0.000 4.220 0.000
0.000 0.000 6.708
In Te H Pb
1 1 2 1
direct
0.000 0.000 0.000
0.000 0.000 0.500
0.000 0.500 0.500
0.500 0.000 0.500
0.500 0.500 0.000
```

Properties
Density of states at the Fermi level: 2.771 states/eV/cell
Calculated total energy: -2.830 eV/atom

***

# 23
A plane-wave DFT calculation with PBE was carried out for YIn2HPb after structural relaxation.

Cell and atoms, written as POSCAR:
```
YIn2HPb
1.0
4.882 0.000 0.000
0.000 4.882 0.000
0.000 0.000 4.643
Y In H Pb
1 2 1 1
direct
0.000 0.000 0.000
0.000 0.500 0.500
0.500 0.000 0.500
0.000 0.000 0.500
0.500 0.500 0.000
```

Properties
Density of states at the Fermi level: 4.133 states/eV/cell
Calculated total energy: -3.944 eV/atom

***

# 24
A plane-wave DFT calculation with PBE was carried out for In2H2Pd after structural relaxation.

Cell and atoms, written as POSCAR:
```
In2H2Pd
1.0
-1.618 1.618 6.588
1.618 -1.618 6.588
1.618 1.618 -6.588
In H Pd
2 2 1
direct
0.133 0.133 0.000
0.867 0.867 0.000
0.250 0.750 0.500
0.750 0.250 0.500
0.500 0.500 0.000
```

Properties
Density of states at the Fermi level: 1.367 states/eV/cell
Calculated total energy: -3.337 eV/atom
Offset from the most stable computed form: 0 meV/atom

***

# 25
A plane-wave DFT calculation with PBE was carried out for In2HPd6 after structural relaxation.

Cell and atoms, written as POSCAR:
```
In2HPd6
1.0
0.000 4.057 4.057
4.057 0.000 4.057
4.057 4.057 0.000
In H Pd
2 1 6
direct
0.250 0.250 0.250
0.750 0.750 0.750
0.000 0.000 0.000
0.252 0.252 0.748
0.252 0.748 0.252
0.252 0.748 0.748
0.748 0.252 0.252
0.748 0.252 0.748
0.748 0.748 0.252
```

Properties
Density of states at the Fermi level: 4.458 states/eV/cell
Calculated total energy: -4.887 eV/atom

***

# 26
A plane-wave DFT calculation with PBE was carried out for In2H2Pd after structural relaxation.

Cell and atoms, written as POSCAR:
```
In2H2Pd
1.0
5.739 0.000 0.000
0.000 5.739 0.000
0.000 0.000 4.467
In H Pd
4 4 2
direct
0.186 0.314 0.000
0.314 0.814 0.000
0.686 0.186 0.000
0.814 0.686 0.000
0.231 0.269 0.500
0.269 0.769 0.500
0.731 0.231 0.500
0.769 0.731 0.500
0.000 0.000 0.500
0.500 0.500 0.500
```

Properties
Density of states at the Fermi level: 2.689 states/eV/cell
Calculated total energy: -3.319 eV/atom
Offset from the most stable computed form: 18 meV/atom